Ac2HoMnO6 | PBE+U | optimized geometry

Structure (POSCAR):
```
Ac2HoMnO6
1.0
5.0033 -2.9166 0.0000
5.0033 2.9166 0.0000
-3.3449 0.0000 4.8546
Ac Ho Mn O
2 1 1 6
Direct
0.2467 0.2467 0.2324
0.7533 0.7533 0.7676
0.0000 0.0000 0.5000
0.5000 0.5000 0.0000
0.2081 0.6909 0.1854
0.2649 0.2649 0.6762
0.3091 0.7919 0.8146
0.6909 0.2081 0.1854
0.7351 0.7351 0.3238
0.7919 0.3091 0.8146
```

- Calculated density: 9.023 g/cm³
- VASP energy: -7.86 eV/atom
- Space group: No. 12
- Magnetization: 0.2000 μB/atom